The following is a DFT calculation (PBE) of an optimized crystal structure of Zr2AlN.

For the total magnetization, the calculation gives 0.00 μB per cell. The crystal system is tetragonal. The energy relative to the elements, uncorrected is -0.59 eV per atom.

The space group is I-42d (No. 122) and the conventional cell measures 6.546, 6.546 and 6.858 Å, with angles of 90.00, 90.00 and 90.00 degrees. Symmetry generates all atoms from Zr at (0.163, 0.250, 0.125), Al at (0.000, 0.000, 0.500) and N at (0.000, 0.000, 0.000).